# 1
# Cu2AgTe2, optimized geometry, DFT PBE
# Excess energy over the best structure of this formula in the dataset in meV/atom: 0
# E_form (uncorrected) in meV/atom: 19.9
# D(E_F) in states/eV/f.u.: 3.00
# Mass density in Mg/m³: 7.190
# Energy in eV/cell: -68.91
# V in Å³/atom: 22.6
data_Cu2AgTe2
_chemical_formula_sum 'Cu8 Ag4 Te8'
_space_group_name_H-M_alt 'P n m a'
_space_group_IT_number 62
_cell_length_a 11.828
_cell_length_b 4.354
_cell_length_c 8.793
_cell_angle_alpha 90.00
_cell_angle_beta 90.00
_cell_angle_gamma 90.00
loop_
_space_group_symop_operation_xyz
'x,y,z'
'-x,-y,-z'
'-x+1/2,-y,z+1/2'
'x+1/2,y,-z+1/2'
'x+1/2,-y+1/2,-z+1/2'
'-x+1/2,y+1/2,z+1/2'
'-x,y+1/2,-z'
'x,-y+1/2,z'
loop_
_atom_site_label
_atom_site_type_symbol
_atom_site_fract_x
_atom_site_fract_y
_atom_site_fract_z
Cu1 Cu 0.041 0.250 0.055
Cu2 Cu 0.118 0.250 0.537
Ag1 Ag 0.233 0.750 0.413
Te1 Te 0.044 0.750 0.666
Te2 Te 0.162 0.750 0.101


# 2
# CuAgTe2, optimized geometry, DFT PBE
# E_form (uncorrected) in meV/atom: 322.8
# D(E_F) in states/eV/f.u.: 2.12
# Mass density in Mg/m³: 7.914
# Energy in eV/cell: -11.94
# V in Å³/atom: 22.4
data_CuAgTe2
_chemical_formula_sum 'Cu1 Ag1 Te2'
_space_group_name_H-M_alt 'P 4/m m m'
_space_group_IT_number 123
_space_group_name_Hall '-P 4 2'
_cell_length_a 3.327
_cell_length_b 3.327
_cell_length_c 8.088
_cell_angle_alpha 90.00
_cell_angle_beta 90.00
_cell_angle_gamma 90.00
loop_
_atom_site_label
_atom_site_type_symbol
_atom_site_fract_x
_atom_site_fract_y
_atom_site_fract_z
Cu1 Cu 0.000 0.000 0.000
Ag1 Ag 0.000 0.000 0.500
Te1 Te 0.500 0.500 0.228


# 3
# CuAgTe, optimized geometry, DFT PBE
# Excess energy over the best structure of this formula in the dataset in meV/atom: 164
# E_form (uncorrected) in meV/atom: 132.0
# D(E_F) in states/eV/f.u.: 0.99
# Mass density in Mg/m³: 7.499
# Energy in eV/cell: -9.69
# V in Å³/atom: 22.1
data_CuAgTe
_chemical_formula_sum 'Cu1 Ag1 Te1'
_space_group_name_H-M_alt 'P 3 m 1'
_space_group_IT_number 156
_cell_length_a 4.2871
_cell_length_b 4.2871
_cell_length_c 4.1597
_cell_angle_alpha 90.00
_cell_angle_beta 90.00
_cell_angle_gamma 120.00
loop_
_space_group_symop_operation_xyz
'x,y,z'
'-y,x-y,z'
'-x+y,-x,z'
'-y,-x,z'
'-x+y,y,z'
'x,x-y,z'
loop_
_atom_site_label
_atom_site_type_symbol
_atom_site_fract_x
_atom_site_fract_y
_atom_site_fract_z
Cu1 Cu 0.0000 0.0000 0.0000
Ag1 Ag 0.6667 0.3333 0.6697
Te1 Te 0.3333 0.6667 0.1628


# 4
# Cu2AgTe, optimized geometry, DFT PBE
# Excess energy over the best structure of this formula in the dataset in meV/atom: 56
# E_form (uncorrected) in meV/atom: 208.1
# D(E_F) in states/eV/f.u.: 1.83
# Mass density in Mg/m³: 8.669
# Energy in eV/cell: -13.35
# V in Å³/atom: 17.4
data_Cu2AgTe
_chemical_formula_sum 'Cu2 Ag1 Te1'
_space_group_name_H-M_alt 'P 4/m m m'
_space_group_IT_number 123
_space_group_name_Hall '-P 4 2'
_cell_length_a 3.521
_cell_length_b 3.521
_cell_length_c 5.601
_cell_angle_alpha 90.00
_cell_angle_beta 90.00
_cell_angle_gamma 90.00
loop_
_atom_site_label
_atom_site_type_symbol
_atom_site_fract_x
_atom_site_fract_y
_atom_site_fract_z
Cu1 Cu 0.000 0.000 0.240
Ag1 Ag 0.500 0.500 0.000
Te1 Te 0.500 0.500 0.500


# 5
# CuAgTe2, optimized geometry, DFT PBE
# E_form (uncorrected) in meV/atom: 6.0
# D(E_F) in states/eV/f.u.: 1.52
# Mass density in Mg/m³: 6.888
# Energy in eV/cell: -13.21
# V in Å³/atom: 25.7
data_CuAgTe2
_chemical_formula_sum 'Cu1 Ag1 Te2'
_space_group_name_H-M_alt 'P m m 2'
_space_group_IT_number 25
_cell_length_a 3.149
_cell_length_b 4.290
_cell_length_c 7.612
_cell_angle_alpha 90.00
_cell_angle_beta 90.00
_cell_angle_gamma 90.00
loop_
_space_group_symop_operation_xyz
'x,y,z'
'-x,-y,z'
'-x,y,z'
'x,-y,z'
loop_
_atom_site_label
_atom_site_type_symbol
_atom_site_fract_x
_atom_site_fract_y
_atom_site_fract_z
Cu1 Cu 0.000 0.000 0.000
Ag1 Ag 0.500 0.500 0.881
Te1 Te 0.000 0.500 0.209
Te2 Te 0.500 0.000 0.654


# 6
# Cu2Ag5Te4, optimized geometry, DFT PBE
# E_form (uncorrected) in meV/atom: 7.7
# D(E_F) in states/eV/f.u.: 2.19
# Mass density in Mg/m³: 6.969
# Energy in eV/cell: -69.86
# V in Å³/atom: 25.5
data_Cu2Ag5Te4
_chemical_formula_sum 'Cu4 Ag10 Te8'
_space_group_name_H-M_alt 'C 1 2/m 1'
_space_group_IT_number 12
_cell_length_a 17.118
_cell_length_b 4.099
_cell_length_c 8.077
_cell_angle_alpha 90.00
_cell_angle_beta 98.28
_cell_angle_gamma 90.00
loop_
_space_group_symop_operation_xyz
'x,y,z'
'-x,-y,-z'
'-x,y,-z'
'x,-y,z'
'x+1/2,y+1/2,z'
'-x+1/2,-y+1/2,-z'
'-x+1/2,y+1/2,-z'
'x+1/2,-y+1/2,z'
loop_
_atom_site_label
_atom_site_type_symbol
_atom_site_fract_x
_atom_site_fract_y
_atom_site_fract_z
Cu1 Cu 0.052 0.000 0.328
Ag1 Ag 0.000 0.000 0.000
Ag2 Ag 0.127 0.500 0.062
Ag3 Ag 0.147 0.500 0.495
Te1 Te 0.045 0.500 0.737
Te2 Te 0.198 0.000 0.274


# 7
# CuAgTe, optimized geometry, DFT PBE
# Excess energy over the best structure of this formula in the dataset in meV/atom: 207
# E_form (uncorrected) in meV/atom: 174.7
# D(E_F) in states/eV/f.u.: 1.01
# Mass density in Mg/m³: 8.078
# Energy in eV/cell: -19.13
# V in Å³/atom: 20.5
data_CuAgTe
_chemical_formula_sum 'Cu2 Ag2 Te2'
_space_group_name_H-M_alt 'I 4 m m'
_space_group_IT_number 107
_space_group_name_Hall 'I 4 -2'
_cell_length_a 3.923
_cell_length_b 3.923
_cell_length_c 7.987
_cell_angle_alpha 90.00
_cell_angle_beta 90.00
_cell_angle_gamma 90.00
loop_
_atom_site_label
_atom_site_type_symbol
_atom_site_fract_x
_atom_site_fract_y
_atom_site_fract_z
Cu1 Cu 0.000 0.000 0.000
Ag1 Ag 0.000 0.000 0.326
Te1 Te 0.000 0.000 0.674


# 8
# Cu2AgTe, optimized geometry, DFT PBE
# Excess energy over the best structure of this formula in the dataset in meV/atom: 6
# E_form (uncorrected) in meV/atom: 158.3
# D(E_F) in states/eV/f.u.: 0.93
# Mass density in Mg/m³: 8.741
# Energy in eV/cell: -13.55
# V in Å³/atom: 17.2
data_Cu2AgTe
_chemical_formula_sum 'Cu2 Ag1 Te1'
_space_group_name_H-M_alt 'P 1 m 1'
_space_group_IT_number 6
_cell_length_a 3.914
_cell_length_b 4.175
_cell_length_c 4.216
_cell_angle_alpha 90.00
_cell_angle_beta 91.18
_cell_angle_gamma 90.00
loop_
_space_group_symop_operation_xyz
'x,y,z'
'x,-y,z'
loop_
_atom_site_label
_atom_site_type_symbol
_atom_site_fract_x
_atom_site_fract_y
_atom_site_fract_z
Cu1 Cu 0.000 0.000 0.000
Cu2 Cu 0.001 0.500 0.496
Ag1 Ag 0.501 0.000 0.500
Te1 Te 0.498 0.500 0.999


# 9
# Cu2AgTe, optimized geometry, DFT PBE
# Excess energy over the best structure of this formula in the dataset in meV/atom: 0
# E_form (uncorrected) in meV/atom: 152.3
# D(E_F) in states/eV/f.u.: 1.41
# Mass density in Mg/m³: 8.058
# Energy in eV/cell: -27.15
# V in Å³/atom: 18.7
data_Cu2AgTe
_chemical_formula_sum 'Cu4 Ag2 Te2'
_space_group_name_H-M_alt 'C 1 m 1'
_space_group_IT_number 8
_cell_length_a 7.165
_cell_length_b 4.394
_cell_length_c 5.180
_cell_angle_alpha 90.00
_cell_angle_beta 113.59
_cell_angle_gamma 90.00
loop_
_space_group_symop_operation_xyz
'x,y,z'
'x,-y,z'
'x+1/2,y+1/2,z'
'x+1/2,-y+1/2,z'
loop_
_atom_site_label
_atom_site_type_symbol
_atom_site_fract_x
_atom_site_fract_y
_atom_site_fract_z
Cu1 Cu 0.000 0.000 0.000
Cu2 Cu 0.109 0.500 0.849
Ag1 Ag 0.418 0.000 0.230
Te1 Te 0.182 0.000 0.601


# 10
# Cu2AgTe, optimized geometry, DFT PBE
# Excess energy over the best structure of this formula in the dataset in meV/atom: 12
# E_form (uncorrected) in meV/atom: 164.8
# D(E_F) in states/eV/f.u.: 1.71
# Mass density in Mg/m³: 8.121
# Energy in eV/cell: -13.53
# V in Å³/atom: 18.5
data_Cu2AgTe
_chemical_formula_sum 'Cu2 Ag1 Te1'
_space_group_name_H-M_alt 'P m m m'
_space_group_IT_number 47
_cell_length_a 3.104
_cell_length_b 3.692
_cell_length_c 6.469
_cell_angle_alpha 90.00
_cell_angle_beta 90.00
_cell_angle_gamma 90.00
loop_
_space_group_symop_operation_xyz
'x,y,z'
'-x,-y,-z'
'-x,-y,z'
'x,y,-z'
'x,-y,-z'
'-x,y,z'
'-x,y,-z'
'x,-y,z'
loop_
_atom_site_label
_atom_site_type_symbol
_atom_site_fract_x
_atom_site_fract_y
_atom_site_fract_z
Cu1 Cu 0.000 0.000 0.194
Ag1 Ag 0.500 0.500 0.000
Te1 Te 0.000 0.500 0.500


# 11
# CuAgTe2, optimized geometry, DFT PBE
# E_form (uncorrected) in meV/atom: 95.8
# D(E_F) in states/eV/f.u.: 1.20
# Mass density in Mg/m³: 6.825
# Energy in eV/cell: -12.85
# V in Å³/atom: 25.9
data_CuAgTe2
_chemical_formula_sum 'Cu1 Ag1 Te2'
_space_group_name_H-M_alt 'P 4 m m'
_space_group_IT_number 99
_cell_length_a 3.615
_cell_length_b 3.615
_cell_length_c 7.942
_cell_angle_alpha 90.00
_cell_angle_beta 90.00
_cell_angle_gamma 90.00
loop_
_space_group_symop_operation_xyz
'x,y,z'
'-y,x,z'
'-x,-y,z'
'y,-x,z'
'-x,y,z'
'y,x,z'
'x,-y,z'
'-y,-x,z'
loop_
_atom_site_label
_atom_site_type_symbol
_atom_site_fract_x
_atom_site_fract_y
_atom_site_fract_z
Cu1 Cu 0.000 0.000 0.000
Ag1 Ag 0.500 0.500 0.815
Te1 Te 0.000 0.000 0.644
Te2 Te 0.500 0.500 0.162


# 12
# CuAgTe2, optimized geometry, DFT PBE
# E_form (uncorrected) in meV/atom: 69.3
# D(E_F) in states/eV/f.u.: 2.46
# Mass density in Mg/m³: 7.488
# Energy in eV/cell: -38.86
# V in Å³/atom: 23.7
data_CuAgTe2
_chemical_formula_sum 'Cu3 Ag3 Te6'
_space_group_name_H-M_alt 'R 3 m'
_space_group_IT_number 160
_space_group_name_Hall 'R 3 -2"'
_cell_length_a 4.1756
_cell_length_b 4.1756
_cell_length_c 18.7973
_cell_angle_alpha 90.00
_cell_angle_beta 90.00
_cell_angle_gamma 120.00
loop_
_atom_site_label
_atom_site_type_symbol
_atom_site_fract_x
_atom_site_fract_y
_atom_site_fract_z
Cu1 Cu 0.0000 0.0000 0.0000
Ag1 Ag 0.0000 0.0000 0.1590
Te1 Te 0.0000 0.0000 0.4007
Te2 Te 0.0000 0.0000 0.5877